First-principles (PBE) data for a relaxed Ho4Tm3Ni2 crystal, as listed in the Alexandria database.

* magnetization: 0.00 μB per formula unit
* DFT formation energy: -0.18 eV/atom
* Fermi-level density of states: 11.0 states/eV per cell

a = 3.548 Å, b = 8.909 Å, c = 8.351 Å
α = 112.47°, β = 102.27°, γ = 90.00°
Sites, in units of the cell vectors:
Ho1 0.231 0.654 0.461
Ho2 0.769 0.346 0.539
Ho3 0.634 0.894 0.269
Ho4 0.366 0.106 0.731
Tm1 0.069 0.188 0.139
Tm2 0.931 0.812 0.861
Tm3 0.000 0.500 0.000
Ni1 0.382 0.562 0.764
Ni2 0.618 0.438 0.236